PBE Ac2PmGe, optimized geometry; formation enthalpy at 0 K = -0.212 eV per atom; space group = P4/mmm; D(E_F) = 4.74 states/eV/f.u.; ρ = 8592 kg/m3
1.0
4.910 0.000 0.000
0.000 5.142 0.000
0.000 0.000 5.142
Ac Ge Pm
2 1 1
Direct
0.000 0.000 0.500
0.000 0.500 0.000
0.500 0.000 0.000
0.500 0.500 0.500

***

PBE AcPm2Ge, optimized geometry; formation enthalpy at 0 K = -0.310 eV per atom; space group = P4/mmm; D(E_F) = 5.32 states/eV/f.u.; ρ = 7978 kg/m3
1.0
-0.498 0.525 3.882
0.456 -3.879 0.583
7.755 1.040 0.855
Ac Ge Pm
1 1 2
Direct
0.500 0.500 0.500
0.500 0.500 0.000
0.000 0.000 0.811
0.000 0.000 0.189

***

PBE Ac2PmGe4, optimized geometry; formation enthalpy at 0 K = -0.597 eV per atom; space group = Immm; D(E_F) = 5.43 states/eV/f.u.; ρ = 7805 kg/m3
1.0
-1.740 0.897 4.067
-2.847 -3.294 -0.491
8.564 -4.818 2.222
Ac Ge Pm
2 4 1
Direct
0.815 0.815 0.629
0.185 0.185 0.371
0.635 0.635 0.269
0.365 0.365 0.731
0.064 0.564 0.128
0.936 0.436 0.872
0.500 0.000 0.000

***

PBE Ac2Pm2Ge, optimized geometry; formation enthalpy at 0 K = 0.164 eV per atom; space group = I4/mmm; D(E_F) = 5.19 states/eV/f.u.; ρ = 7289 kg/m3
1.0
4.298 0.000 0.000
0.000 4.298 0.000
-2.149 -2.149 10.074
Ac Pm Ge
2 2 1
Direct
0.417 0.417 0.835
0.583 0.583 0.165
0.750 0.250 0.500
0.250 0.750 0.500
0.000 0.000 0.000

***

PBE AcPmGe2, optimized geometry; formation enthalpy at 0 K = -0.629 eV per atom; space group = P4/mmm; D(E_F) = 3.01 states/eV/f.u.; ρ = 8034 kg/m3
1.0
3.984 0.000 0.000
0.000 3.984 0.000
0.000 0.000 6.736
Ac Ge Pm
1 2 1
Direct
0.500 0.500 0.500
0.000 0.000 0.798
0.000 0.000 0.202
0.500 0.500 0.000

***

PBE AcPm3Ge, optimized geometry; formation enthalpy at 0 K = -0.137 eV per atom; space group = P6_3/mmc; D(E_F) = 6.58 states/eV/f.u.; ρ = 7564 kg/m3
1.0
-0.537 -0.147 -5.574
-4.555 -0.153 3.258
-0.582 11.850 -0.256
Ac Pm Ge
2 6 2
Direct
0.667 0.333 0.250
0.333 0.667 0.750
0.000 0.000 0.750
0.000 0.000 0.250
0.667 0.333 0.916
0.667 0.333 0.584
0.333 0.667 0.416
0.333 0.667 0.084
0.000 0.000 0.000
0.000 0.000 0.500

***

PBE AcPm2Ge, optimized geometry; formation enthalpy at 0 K = -0.044 eV per atom; space group = Fm-3m; D(E_F) = 5.97 states/eV/f.u.; ρ = 8256 kg/m3
1.0
5.515 0.000 0.000
2.757 4.776 0.000
2.757 1.592 4.503
Ac Ge Pm
1 1 2
Direct
0.500 0.500 0.500
0.000 0.000 0.000
0.250 0.250 0.250
0.750 0.750 0.750

***

PBE AcPm12Ge6, optimized geometry; formation enthalpy at 0 K = -0.466 eV per atom; space group = R-3m; D(E_F) = 23.93 states/eV/f.u.; ρ = 6736 kg/m3
1.0
-3.762 -7.563 -2.017
7.537 -0.313 -4.303
2.383 -1.104 8.278
Ac Pm Ge
1 12 6
Direct
0.000 0.000 0.000
0.876 0.124 0.500
0.822 0.554 0.554
0.554 0.554 0.822
0.446 0.178 0.446
0.446 0.446 0.178
0.178 0.446 0.446
0.124 0.500 0.876
0.500 0.876 0.124
0.124 0.876 0.500
0.876 0.500 0.124
0.500 0.124 0.876
0.554 0.822 0.554
0.698 0.246 0.246
0.246 0.246 0.698
0.246 0.698 0.246
0.754 0.754 0.302
0.302 0.754 0.754
0.754 0.302 0.754

***

The lowest ρ belongs to which entry?
AcPm12Ge6

***

Look up the D(E_F) of the eighth one.
23.93 states/eV/f.u.